First-principles (PBE-GGA) data for a relaxed PuSb3Pd3 crystal, as listed in the Alexandria database.

Cell and atoms, written as POSCAR:
```
PuSb3Pd3
1.0
-6.165 3.726 0.939
-1.062 -3.358 6.354
3.693 5.255 3.395
Sb Pd Pu
6 6 2
Cartesian
0.305 3.559 1.932 Sb
0.392 -0.365 4.025 Sb
-3.879 -0.656 5.235 Sb
-2.778 5.422 2.402 Sb
2.239 2.262 5.723 Sb
-3.348 1.023 2.058 Sb
1.581 1.788 3.286 Pd
1.050 0.109 6.463 Pd
-0.313 5.804 3.016 Pd
-5.155 1.115 3.881 Pd
-2.159 3.177 1.318 Pd
-2.072 -0.748 3.412 Pd
-1.767 2.811 5.344 Pu
0.000 0.000 0.000 Pu
```

Results
Energy relative to the elements, uncorrected ... -2.97 kcal/mol of atoms
E_tot ... -6.168 eV per atom
Crystal system ... cubic
Energy above the lowest structure with this stoichiometry ... 0.2582 eV/atom